An optimized crystal structure of AgIr2Ru. Source: the Alexandria database, functional PBEsol.

Cell and atoms, written as CIF:
```
data_AgIr2Ru
_cell_length_a 6.160
_cell_length_b 6.160
_cell_length_c 6.160
_cell_angle_alpha 90.00
_cell_angle_beta 90.00
_cell_angle_gamma 90.00
_space_group_name_H-M_alt 'P 1'
_space_group_IT_number 1
loop_
_space_group_symop_operation_xyz
'x,y,z'
loop_
_atom_site_label
_atom_site_fract_x
_atom_site_fract_y
_atom_site_fract_z
Ag1 0.000 0.000 0.000
Ag2 0.000 0.500 0.500
Ag3 0.500 0.000 0.500
Ag4 0.500 0.500 0.000
Ir1 0.000 0.000 0.500
Ir2 0.000 0.500 0.000
Ir3 0.250 0.250 0.250
Ir4 0.250 0.750 0.750
Ir5 0.500 0.000 0.000
Ir6 0.500 0.500 0.500
Ir7 0.750 0.250 0.750
Ir8 0.750 0.750 0.250
Ru1 0.250 0.250 0.750
Ru2 0.250 0.750 0.250
Ru3 0.750 0.250 0.250
Ru4 0.750 0.750 0.750
```

Electronic total energy, Ry/atom: -0.559
DFT formation energy, meV per atom: 671
Offset from the most stable computed form, meV per atom: 496
SG: F-43m (216)
Volume, Å³/cell: 234